No. 1
! Li12Ca2Mg3Ag | Alexandria | GGA-PBE | relaxed; values from VASP
&SYSTEM
  ibrav = 0, nat = 18, ntyp = 4
/
ATOMIC_SPECIES
Li 6.94 Li.upf
Ca 40.08 Ca.upf
Mg 24.30 Mg.upf
Ag 107.87 Ag.upf
CELL_PARAMETERS angstrom
3.0916 1.7849 13.0451
-3.0916 1.7849 13.0451
0.0000 -3.5698 13.0451
ATOMIC_POSITIONS crystal
Li 0.0985 0.0985 0.6287
Li 0.0985 0.6287 0.0985
Li 0.1256 0.6048 0.6048
Li 0.3713 0.9015 0.9015
Li 0.3952 0.3952 0.8744
Li 0.3952 0.8744 0.3952
Li 0.6048 0.1256 0.6048
Li 0.6048 0.6048 0.1256
Li 0.6287 0.0985 0.0985
Li 0.8744 0.3952 0.3952
Li 0.9015 0.3713 0.9015
Li 0.9015 0.9015 0.3713
Ca 0.1474 0.1474 0.1474
Ca 0.8526 0.8526 0.8526
Mg 0.0000 0.5000 0.5000
Mg 0.5000 0.0000 0.5000
Mg 0.5000 0.5000 0.0000
Ag 0.5000 0.5000 0.5000
! * M_tot: 0.0 μB/f.u.

---

No. 2
! LiCa2Mg12Ag3 | Alexandria | GGA-PBE | relaxed; values from VASP
&SYSTEM
  ibrav = 0, nat = 18, ntyp = 4
/
ATOMIC_SPECIES
Li 6.94 Li.upf
Ca 40.08 Ca.upf
Mg 24.30 Mg.upf
Ag 107.87 Ag.upf
CELL_PARAMETERS angstrom
3.0827 1.7798 14.1571
-3.0827 1.7798 14.1571
0.0000 -3.5596 14.1571
ATOMIC_POSITIONS crystal
Li 0.0000 0.0000 0.0000
Ca 0.3522 0.3522 0.3522
Ca 0.6478 0.6478 0.6478
Mg 0.1120 0.1120 0.6100
Mg 0.1120 0.6100 0.1120
Mg 0.1257 0.6113 0.6113
Mg 0.3887 0.3887 0.8743
Mg 0.3887 0.8743 0.3887
Mg 0.3900 0.8880 0.8880
Mg 0.6100 0.1120 0.1120
Mg 0.6113 0.1257 0.6113
Mg 0.6113 0.6113 0.1257
Mg 0.8743 0.3887 0.3887
Mg 0.8880 0.3900 0.8880
Mg 0.8880 0.8880 0.3900
Ag 0.0000 0.0000 0.5000
Ag 0.0000 0.5000 0.0000
Ag 0.5000 0.0000 0.0000
! * M_tot: 0.0 μB/f.u.

---

No. 3
! Li2CaMgAg | Alexandria | GGA-PBE | relaxed; values from VASP
&SYSTEM
  ibrav = 0, nat = 5, ntyp = 4
/
ATOMIC_SPECIES
Li 6.94 Li.upf
Ca 40.08 Ca.upf
Mg 24.30 Mg.upf
Ag 107.87 Ag.upf
CELL_PARAMETERS angstrom
-2.1163 2.1637 6.4836
2.1163 -2.1637 6.4836
2.1163 2.1637 -6.4836
ATOMIC_POSITIONS crystal
Li 0.0000 0.0000 0.0000
Li 0.8409 0.3409 0.5000
Ca 0.2254 0.7254 0.5000
Mg 0.4932 0.4932 0.0000
Ag 0.6375 0.1375 0.5000
! * M_tot: 0.0 μB/f.u.

---

| no. | energy relative to the elements (kcal/mol of atoms) |
| --- | --- |
| 1 | 1.8 |
| 2 | 2.4 |
| 3 | -2.7 |